1.
Density functional theory data (GGA-PBE) for a geometry-optimized ScCrGaHg structure.

As for the total energy: -4.9470 eV per atom. The formation energy is -126 meV/atom. The value obtained for the density is 8.188 g/cm3.

Structure (POSCAR):
```
ScCrGaHg
1.0
0.000 3.339 3.339
3.339 0.000 3.339
3.339 3.339 0.000
Sc Cr Ga Hg
1 1 1 1
Cartesian
0.000 0.000 0.000
3.339 3.339 3.339
1.670 1.670 1.670
5.009 5.009 5.009
```



2.
Density functional theory data (GGA-PBE) for a geometry-optimized CaMg4Cl structure.

As for the total energy: -1.8259 eV per atom. The formation energy from raw total energies is -122 meV/atom. The value obtained for the density is 1.717 g/cm3.

Structure (POSCAR):
```
CaMg4Cl
1.0
0.000 4.372 4.372
4.372 0.000 4.372
4.372 4.372 0.000
Ca Mg Cl
1 4 1
Cartesian
0.000 0.000 0.000
3.264 3.264 3.264
5.480 5.480 3.264
5.480 3.264 5.480
3.264 5.480 5.480
6.558 6.558 6.558
```



3.
Density functional theory data (GGA-PBE) for a geometry-optimized Ca2LaPmPt2 structure.

As for the total energy: -5.0881 eV per atom. The formation energy is -794 meV/atom. The value obtained for the density is 7.530 g/cm3.

Structure (POSCAR):
```
Ca2LaPmPt2
1.0
4.850 0.000 0.000
0.000 9.098 0.000
0.000 0.000 7.538
Ca La Pm Pt
4 2 2 4
Cartesian
0.000 0.841 0.000
0.000 8.257 3.769
2.425 1.478 2.518
2.425 7.621 6.287
2.425 3.852 7.265
2.425 5.246 3.496
0.000 2.913 4.635
0.000 6.186 0.866
0.000 3.354 1.754
0.000 5.744 5.523
2.425 1.511 5.583
2.425 7.587 1.814
```



4.
Density functional theory data (GGA-PBE) for a geometry-optimized Zn5CuAu6 structure.

As for the total energy: -2.6946 eV per atom. The formation energy is -184 meV/atom. The value obtained for the density is 13.519 g/cm3.

Structure (POSCAR):
```
Zn5CuAu6
1.0
2.292 -6.894 0.000
2.292 6.894 0.000
-0.055 0.000 6.112
Zn Cu Au
5 1 6
Cartesian
0.000 0.000 0.000
2.292 2.310 0.000
2.264 2.260 3.056
2.264 -2.260 3.056
2.292 -2.310 0.000
-0.028 0.000 3.056
2.276 4.601 1.540
2.252 4.601 4.572
2.279 0.000 1.526
2.249 0.000 4.586
2.276 -4.601 1.540
2.252 -4.601 4.572
```



5.
Density functional theory data (GGA-PBE) for a geometry-optimized Ga2Hg7Pb2 structure.

As for the total energy: -1.3591 eV per atom. The formation energy is 58 meV/atom. The value obtained for the density is 10.974 g/cm3.

Structure (POSCAR):
```
Ga2Hg7Pb2
1.0
4.635 -4.655 0.000
4.635 4.655 0.000
-1.952 0.000 6.865
Ga Hg Pb
2 7 2
Cartesian
0.131 0.000 2.550
7.188 0.000 4.315
2.218 2.690 2.204
3.020 0.000 0.321
5.100 2.690 4.661
3.659 0.000 3.433
2.218 -2.690 2.204
4.298 0.000 6.545
5.100 -2.690 4.661
4.635 2.919 0.000
4.635 -2.919 0.000
```



6.
Density functional theory data (GGA-PBE) for a geometry-optimized CdCuIO6 structure.

As for the total energy: -4.5333 eV per atom. The formation energy from raw total energies is -499 meV/atom. The value obtained for the density is 5.851 g/cm3.

Structure (POSCAR):
```
CdCuIO6
1.0
5.165 0.000 0.000
-2.583 4.473 0.000
0.000 0.000 9.800
Cd Cu I O
2 2 2 12
Cartesian
0.000 0.000 0.000
0.000 0.000 4.900
0.000 2.982 2.450
2.583 1.491 7.350
0.000 2.982 7.350
2.583 1.491 2.450
-0.896 1.685 6.272
-1.571 2.854 8.427
0.896 1.685 8.427
-0.675 4.407 6.272
1.907 0.066 1.372
1.011 1.619 3.528
1.571 2.854 6.272
0.675 4.407 8.427
3.258 0.066 3.528
1.686 2.788 1.372
4.154 1.619 1.372
3.479 2.788 3.528
```



7.
Density functional theory data (GGA-PBE) for a geometry-optimized La2MoW structure.

The calculation puts the relative energy among the computed polymorphs at 656 meV per atom. As for the total energy: -7.4623 eV per atom. The formation energy is 947 meV/atom. The value obtained for the density is 9.574 g/cm3.

Structure (POSCAR):
```
La2MoW
1.0
5.153 0.000 0.000
0.000 5.153 0.000
0.000 0.000 3.642
La Mo W
2 1 1
Cartesian
0.000 2.576 0.000
2.576 0.000 0.000
0.000 0.000 1.821
2.576 2.576 1.821
```



8.
Density functional theory data (GGA-PBE) for a geometry-optimized ThTiSb2 structure.

The calculation puts the relative energy among the computed polymorphs at 169 meV per atom. As for the total energy: -6.3088 eV per atom. The formation energy from raw total energies is -419 meV/atom. The value obtained for the density is 7.710 g/cm3.

Structure (POSCAR):
```
ThTiSb2
1.0
-2.034 2.034 6.816
2.034 -2.034 6.816
2.034 2.034 -6.816
Th Ti Sb
1 1 2
Cartesian
0.000 0.000 0.000
2.034 0.000 3.408
0.000 0.000 5.156
0.000 0.000 8.476
```



9.
Density functional theory data (GGA-PBE) for a geometry-optimized Er4Tl2CdHg structure.

As for the total energy: -3.3828 eV per atom. The formation energy is -358 meV/atom. The value obtained for the density is 11.104 g/cm3.

Structure (POSCAR):
```
Er4Tl2CdHg
1.0
2.639 1.524 8.621
-2.639 1.524 8.621
0.000 -3.047 8.621
Er Tl Cd Hg
4 2 1 1
Cartesian
0.000 0.000 3.187
0.000 0.000 9.657
0.000 0.000 16.205
0.000 0.000 22.674
0.000 0.000 6.396
0.000 0.000 19.465
0.000 0.000 12.931
0.000 0.000 0.000
```



10.
Density functional theory data (GGA-PBE) for a geometry-optimized TbNd2Zn structure.

The calculation puts the relative energy among the computed polymorphs at 316 meV per atom. As for the total energy: -3.6986 eV per atom. The formation energy is 161 meV/atom. The value obtained for the density is 6.850 g/cm3.

Structure (POSCAR):
```
TbNd2Zn
1.0
1.755 1.013 11.655
-1.755 1.013 11.655
0.000 -2.026 11.655
Tb Nd Zn
1 2 1
Cartesian
0.000 0.000 0.000
0.000 0.000 3.490
0.000 0.000 31.476
0.000 0.000 17.483
```



11.
Density functional theory data (GGA-PBE) for a geometry-optimized NbP2Br structure.

The calculation puts the relative energy among the computed polymorphs at 0 meV per atom. As for the total energy: -5.3047 eV per atom. The formation energy from raw total energies is 336 meV/atom. The value obtained for the density is 3.528 g/cm3.

Structure (POSCAR):
```
NbP2Br
1.0
-3.091 3.091 5.784
3.091 -3.091 5.784
3.091 3.091 -5.784
Nb P Br
2 4 2
Cartesian
0.000 0.000 0.000
0.000 3.091 2.892
4.636 1.084 -1.446
1.084 1.545 1.446
-1.545 2.006 4.338
2.006 1.545 7.230
3.091 0.000 2.892
0.000 0.000 5.784
```



12.
Density functional theory data (GGA-PBE) for a geometry-optimized NdEr3Th2Bi6 structure.

As for the total energy: -5.4704 eV per atom. The formation energy is -755 meV/atom. The value obtained for the density is 9.993 g/cm3.

Structure (POSCAR):
```
NdEr3Th2Bi6
1.0
9.847 -2.267 0.000
9.847 2.267 0.000
-2.027 0.000 8.800
Nd Er Th Bi
1 3 2 6
Cartesian
0.000 0.000 0.000
-1.014 0.000 4.400
6.249 0.000 1.468
11.417 0.000 7.332
5.231 0.000 5.890
12.435 0.000 2.911
2.047 0.000 5.184
3.183 0.000 0.674
9.279 0.000 2.260
8.387 0.000 6.541
14.483 0.000 8.126
15.619 0.000 3.617
```



13.
Density functional theory data (GGA-PBE) for a geometry-optimized BaCoP2Ir structure.

As for the total energy: -6.5633 eV per atom. The formation energy is -821 meV/atom. The value obtained for the density is 7.781 g/cm3.

Structure (POSCAR):
```
BaCoP2Ir
1.0
-1.940 1.940 6.385
1.940 -1.940 6.385
1.940 1.940 -6.385
Ba Co P Ir
1 1 2 1
Cartesian
0.000 0.000 0.000
1.940 0.000 3.193
0.000 0.000 4.448
0.000 0.000 8.323
0.000 1.940 3.193
```



14.
Density functional theory data (GGA-PBE) for a geometry-optimized LaCrPt3 structure.

The calculation puts the relative energy among the computed polymorphs at 1312 meV per atom. As for the total energy: -5.4423 eV per atom. The formation energy is 1092 meV/atom. The value obtained for the density is 9.015 g/cm3.

Structure (POSCAR):
```
LaCrPt3
1.0
5.229 0.000 0.000
0.000 5.229 0.000
0.000 0.000 5.229
La Cr Pt
1 1 3
Cartesian
0.000 0.000 0.000
2.614 2.614 2.614
0.000 0.000 2.614
0.000 2.614 0.000
2.614 0.000 0.000
```



15.
Density functional theory data (GGA-PBE) for a geometry-optimized Tb4Pr2SmHo2 structure.

As for the total energy: -4.5808 eV per atom. The formation energy is 81 meV/atom. The value obtained for the density is 7.800 g/cm3.

Structure (POSCAR):
```
Tb4Pr2SmHo2
1.0
6.043 0.000 0.000
2.702 6.064 0.000
2.813 0.349 8.121
Tb Pr Sm Ho
4 2 1 2
Cartesian
1.794 0.860 2.108
4.103 3.639 3.141
7.455 2.773 4.980
9.764 5.552 6.012
4.618 2.278 6.831
6.940 4.134 1.290
4.428 0.174 4.060
6.693 4.983 7.665
4.865 1.429 0.456
```



16.
Density functional theory data (GGA-PBE) for a geometry-optimized La2NdY6Sc2 structure.

As for the total energy: -5.8139 eV per atom. The formation energy is 192 meV/atom. The value obtained for the density is 4.715 g/cm3.

Structure (POSCAR):
```
La2NdY6Sc2
1.0
3.229 -5.053 0.000
3.229 5.053 0.000
-0.688 0.000 11.282
La Nd Y Sc
2 1 6 2
Cartesian
3.229 2.537 0.000
3.229 -2.537 0.000
-0.344 0.000 5.641
0.910 1.717 8.310
1.702 0.000 2.560
0.910 -1.717 8.310
4.861 1.717 2.973
4.068 0.000 8.722
4.861 -1.717 2.973
2.885 1.618 5.641
2.885 -1.618 5.641
```



17.
Density functional theory data (GGA-PBE) for a geometry-optimized BaZr2Ge4 structure.

As for the total energy: -4.6736 eV per atom. The formation energy is 682 meV/atom. The value obtained for the density is 4.689 g/cm3.

Structure (POSCAR):
```
BaZr2Ge4
1.0
-2.737 2.737 7.211
2.737 -2.737 7.211
2.737 2.737 -7.211
Ba Zr Ge
1 2 4
Cartesian
0.000 0.000 0.000
0.000 0.000 5.863
0.000 0.000 8.558
2.737 0.000 0.000
0.000 0.000 3.171
0.000 2.737 0.000
0.000 0.000 11.250
```



18.
Density functional theory data (GGA-PBE) for a geometry-optimized AcLa4TbSm2 structure.

As for the total energy: -4.7069 eV per atom. The formation energy is 29 meV/atom. The value obtained for the density is 7.063 g/cm3.

Structure (POSCAR):
```
AcLa4TbSm2
1.0
5.863 -2.634 0.000
5.863 2.634 0.000
-4.789 0.000 9.456
Ac La Tb Sm
1 4 1 2
Cartesian
0.000 0.000 0.000
-1.271 0.000 8.219
1.142 0.000 3.572
5.795 0.000 5.884
8.208 0.000 1.237
-2.395 0.000 4.728
4.629 0.000 2.419
2.308 0.000 7.037
```



19.
Density functional theory data (GGA-PBE) for a geometry-optimized AlPtF2 structure.

The calculation puts the relative energy among the computed polymorphs at 0 meV per atom. As for the total energy: -4.7305 eV per atom. The formation energy from raw total energies is -1349 meV/atom. The value obtained for the density is 6.933 g/cm3.

Structure (POSCAR):
```
AlPtF2
1.0
0.000 3.964 3.964
3.964 0.000 3.964
3.964 3.964 0.000
Al Pt F
2 2 4
Cartesian
0.991 0.991 0.991
6.937 6.937 6.937
2.973 2.973 2.973
4.955 4.955 4.955
0.000 0.000 0.000
1.982 1.982 0.000
1.982 0.000 1.982
0.000 1.982 1.982
```



20.
Density functional theory data (GGA-PBE) for a geometry-optimized Pm5Sm2Tm4 structure.

The calculation puts the relative energy among the computed polymorphs at 36 meV per atom. As for the total energy: -4.4633 eV per atom. The formation energy is 180 meV/atom. The value obtained for the density is 7.529 g/cm3.

Structure (POSCAR):
```
Pm5Sm2Tm4
1.0
-1.760 4.548 11.722
1.760 -4.548 11.722
1.760 4.548 -11.722
Pm Sm Tm
5 2 4
Cartesian
0.000 0.000 0.000
1.760 1.814 -3.368
1.760 1.814 3.368
0.000 2.733 8.354
0.000 2.733 15.089
1.760 0.000 6.294
0.000 4.548 5.427
1.760 2.870 0.000
1.760 0.000 9.465
0.000 4.548 2.257
0.000 1.677 11.722
```



21.
Density functional theory data (GGA-PBE) for a geometry-optimized Ba8GePt3I3 structure.

As for the total energy: -3.8439 eV per atom. The formation energy from raw total energies is -992 meV/atom. The value obtained for the density is 5.423 g/cm3.

Structure (POSCAR):
```
Ba8GePt3I3
1.0
8.158 -4.706 0.000
8.158 4.706 0.000
-5.450 0.000 8.523
Ba Ge Pt I
8 1 3 3
Cartesian
4.047 2.398 5.967
-0.004 0.000 6.022
2.663 0.000 2.553
6.819 2.398 2.556
4.047 -2.398 5.967
8.203 0.000 5.970
10.870 0.000 2.501
6.819 -2.398 2.556
5.433 0.000 4.262
-2.725 0.000 4.262
1.354 2.353 4.262
1.354 -2.353 4.262
4.079 2.353 0.000
4.079 -2.353 0.000
8.158 0.000 0.000
```



22.
Density functional theory data (GGA-PBE) for a geometry-optimized Er2CoH8 structure.

As for the total energy: -4.2451 eV per atom. The value obtained for the density is 7.532 g/cm3.

Structure (POSCAR):
```
Er2CoH8
1.0
6.575 -1.737 0.000
6.575 1.737 0.000
-1.257 0.000 3.876
Er Co H
2 1 8
Cartesian
1.716 0.000 0.557
10.178 0.000 3.319
5.947 0.000 1.938
12.788 0.000 1.110
-0.895 0.000 2.766
2.185 0.000 2.855
5.034 0.000 0.637
4.442 0.000 2.445
7.451 0.000 1.431
6.860 0.000 3.239
9.708 0.000 1.021
```



23.
Density functional theory data (GGA-PBE) for a geometry-optimized P2RuOF structure.

The calculation puts the relative energy among the computed polymorphs at 831 meV per atom. As for the total energy: -4.5195 eV per atom. The formation energy from raw total energies is 865 meV/atom. The value obtained for the density is 5.123 g/cm3.

Structure (POSCAR):
```
P2RuOF
1.0
3.920 0.000 0.000
0.000 3.920 0.000
0.000 0.000 4.177
P Ru O F
2 1 1 1
Cartesian
0.000 1.960 0.000
1.960 0.000 0.000
0.000 0.000 2.088
1.960 1.960 2.088
1.960 1.960 0.000
```



24.
Density functional theory data (GGA-PBE) for a geometry-optimized SiP2Ru structure.

As for the total energy: -6.6027 eV per atom. The formation energy from raw total energies is -223 meV/atom. The value obtained for the density is 4.510 g/cm3.

Structure (POSCAR):
```
SiP2Ru
1.0
3.213 -1.875 0.000
3.213 1.875 0.000
-2.153 0.000 5.840
Si P Ru
1 2 1
Cartesian
0.000 0.000 0.000
-0.008 0.000 3.832
4.274 0.000 0.966
4.265 0.000 3.366
```